No. 1
Density functional theory data (PBE) for a geometry-optimized Tb6ZnCu2 structure.

Properties
**Symmetry**: Immm, No. 71
**Formation energy from the elements**: -162 meV/atom
**Energy**: -4.301 eV per atom

Lattice parameters (Å, degrees): 8.446 8.446 8.446 106.87 109.85 111.73
Fractional positions:
Tb1 0.811 0.244 0.055
Tb2 0.454 0.275 0.179
Tb3 0.698 0.022 0.324
Tb4 0.096 0.275 0.821
Tb5 0.698 0.374 0.676
Tb6 0.546 0.725 0.821
Tb7 0.189 0.244 0.434
Tb8 0.904 0.725 0.179
Tb9 0.189 0.756 0.945
Tb10 0.302 0.626 0.324
Tb11 0.811 0.756 0.566
Tb12 0.302 0.978 0.676
Zn1 0.000 0.500 0.500
Zn2 0.000 0.000 0.000
Cu1 0.500 0.380 0.880
Cu2 0.500 0.620 0.120
Cu3 0.347 0.000 0.347
Cu4 0.653 0.000 0.653

No. 2
Density functional theory data (PBE) for a geometry-optimized ZnAsOF2 structure.

Properties
**Symmetry**: P4/mmm, No. 123
**Formation energy (no corrections)**: -987 meV/atom
**Energy**: -3.912 eV per atom
**E above lowest polymorph**: 0.0 meV per atom

Lattice parameters (Å, degrees): 4.329 4.329 3.908 90.00 90.00 90.00
Site moments in Bohr magnetons follow the coordinates.
Fractional positions:
Zn1 0.500 0.500 0.500  0.34
F1 0.500 0.000 0.000  0.03
F2 0.000 0.500 0.000  0.03
O1 0.000 0.000 0.500  0.05
As1 0.000 0.000 0.000  -0.02

No. 3
Density functional theory data (PBE) for a geometry-optimized Y2BeCr structure.

Properties
**Symmetry**: P4/mmm, No. 123
**Formation energy from the elements**: 262 meV/atom
**Energy**: -6.307 eV per atom

Lattice parameters (Å, degrees): 4.933 4.934 3.546 90.00 90.00 90.00
Site moments in Bohr magnetons follow the coordinates.
Fractional positions:
Cr1 0.000 0.500 0.500  3.34
Be1 0.500 0.000 0.500  -0.02
Y1 0.500 0.500 0.000  0.01
Y2 0.000 0.000 0.000  0.01

No. 4
Density functional theory data (PBE) for a geometry-optimized SnPd3 structure.

Properties
**Symmetry**: R-3m, No. 166
**Formation energy from the elements**: -115 meV/atom
**Energy**: -5.010 eV per atom

Lattice parameters (Å, degrees): 3.062 3.062 8.746 79.92 100.08 120.00
Fractional positions:
Pd1 0.748 0.252 0.244
Pd2 0.500 0.500 0.500
Pd3 0.252 0.748 0.756
Sn1 0.000 0.000 0.000